i.
The following is a GGA-PBE calculation of a relaxed structure of Ba8Zn2In, from the Alexandria database.

Computed properties:
Volume (Å³/atom): 46.2
Total moment (μB per formula unit): 0.00

a b c (Å): 10.966 10.966 8.433
angles (deg): 107.89 107.89 31.94
Fractional coordinates of all 11 atoms:
1 Ba 0.037 0.037 0.297
2 Ba 0.200 0.200 0.820
3 Ba 0.327 0.327 0.530
4 Ba 0.405 0.405 0.048
5 Ba 0.595 0.595 0.952
6 Ba 0.673 0.673 0.470
7 Ba 0.800 0.800 0.180
8 Ba 0.963 0.963 0.703
9 Zn 0.185 0.185 0.205
10 Zn 0.815 0.815 0.795
11 In 0.500 0.500 0.500



ii.
The following is a GGA-PBE calculation of a relaxed structure of Ba8Zn2In, from the Alexandria database.

Computed properties:
Volume (Å³/atom): 45.8
Total moment (μB per formula unit): 0.00

a b c (Å): 5.995 8.268 11.042
angles (deg): 106.36 105.75 90.04
Fractional coordinates of all 11 atoms:
1 Ba 0.000 0.000 0.000
2 Ba 0.065 0.595 0.131
3 Ba 0.240 0.096 0.477
4 Ba 0.373 0.831 0.745
5 Ba 0.439 0.357 0.879
6 Ba 0.629 0.233 0.257
7 Ba 0.702 0.760 0.403
8 Ba 0.828 0.470 0.656
9 Zn 0.535 0.795 0.070
10 Zn 0.849 0.077 0.697
11 In 0.221 0.502 0.440



Energies relative to the most stable structure are i 10; ii 0, reported in meV/atom.



i.
The following is a GGA-PBE calculation of a relaxed structure of BaZrIn3, from the Alexandria database.

Computed properties:
Volume (Å³/atom): 35.6
Total moment (μB per formula unit): 0.00

a b c (Å): 5.628 5.628 5.628
angles (deg): 90.00 90.00 90.00
Fractional coordinates of all 5 atoms:
1 Ba 0.000 0.000 0.000
2 Zr 0.500 0.500 0.500
3 In 0.000 0.500 0.500
4 In 0.500 0.000 0.500
5 In 0.500 0.500 0.000



ii.
The following is a GGA-PBE calculation of a relaxed structure of BaZrIn3, from the Alexandria database.

Computed properties:
Volume (Å³/atom): 41.4
Total moment (μB per formula unit): 0.00

a b c (Å): 5.917 5.917 5.917
angles (deg): 90.00 90.00 90.00
Fractional coordinates of all 5 atoms:
1 Ba 0.000 0.000 0.000
2 Zr 0.500 0.500 0.500
3 In 0.000 0.000 0.500
4 In 0.000 0.500 0.000
5 In 0.500 0.000 0.000



Energies relative to the most stable structure are i 0; ii 1438, reported in meV/atom.